# 1
Here is a geometry-optimized HoLuTcPt structure from Alexandria. Energies are from GGA-PBE.

The formation enthalpy at 0 K is -0.6216 eV per atom. The total magnetic moment is 0.0 μB per cell.

It has space group F-43m (No. 216), with a = 6.8033 Å, b = 6.8033 Å, c = 6.8033 Å, α = 90.00°, β = 90.00° and γ = 90.00°. The distinct sites, in fractional coordinates, are Ho at (0.0000, 0.0000, 0.0000), Lu at (0.0000, 0.0000, 0.5000), Tc at (0.2500, 0.2500, 0.7500) and Pt at (0.2500, 0.2500, 0.2500).

# 2
Here is a geometry-optimized La4AlInAg2 structure from Alexandria. Energies are from GGA-PBE.

The formation enthalpy at 0 K is -0.3344 eV per atom. The total magnetic moment is 0.0 μB per cell.

It has space group R-3m (No. 166, hexagonal axes), with a = 5.4693 Å, b = 5.4693 Å, c = 26.8414 Å, α = 90.00°, β = 90.00° and γ = 120.00°. The distinct sites, in fractional coordinates, are La at (0.0000, 0.0000, 0.1213), La at (0.0000, 0.0000, 0.3712), Al at (0.0000, 0.0000, 0.0000), In at (0.0000, 0.0000, 0.5000) and Ag at (0.0000, 0.0000, 0.2461).

# 3
Here is a geometry-optimized PaGaF2 structure from Alexandria. Energies are from GGA-PBE.

The uncorrected formation energy is -1712 meV/atom. The total magnetic moment is 1.4 μB per cell.

It has space group R-3m (No. 166, hexagonal axes), with a = 3.3891 Å, b = 3.3891 Å, c = 28.1278 Å, α = 90.00°, β = 90.00° and γ = 120.00°. The distinct sites, in fractional coordinates, are Pa at (0.0000, 0.0000, 0.0000), Ga at (0.0000, 0.0000, 0.5000) and F at (0.0000, 0.0000, 0.0743).

# 4
Here is a geometry-optimized LiSb2Ru structure from Alexandria. Energies are from GGA-PBE.

As for the offset from the most stable computed form: 0.3763 eV/atom. The uncorrected formation energy is 187 meV/atom. The total magnetic moment is 0.0 μB per cell.

It has space group I-42d (No. 122), with a = 6.5340 Å, b = 6.5340 Å, c = 11.0350 Å, α = 90.00°, β = 90.00° and γ = 90.00°. The distinct sites, in fractional coordinates, are Li at (0.0000, 0.0000, 0.0000), Sb at (0.2036, 0.2500, 0.6250) and Ru at (0.0000, 0.0000, 0.5000).

# 5
Here is a geometry-optimized Ti6Sn3B structure from Alexandria. Energies are from GGA-PBE.

The formation enthalpy at 0 K is -0.1736 eV per atom. The total magnetic moment is 0.1 μB per cell.

It has space group C2/m (No. 12), with a = 10.0538 Å, b = 5.8182 Å, c = 7.0327 Å, α = 90.00°, β = 110.92° and γ = 90.00°. The distinct sites, in fractional coordinates, are Ti at (0.1057, 0.2488, 0.3802), Ti at (0.1838, 0.5000, 0.7877), Sn at (0.0000, 0.0000, 0.0000), Sn at (0.1951, 0.0000, 0.7586) and B at (0.0000, 0.5000, 0.5000).

# 6
Here is a geometry-optimized Ac2DyGe4Pt3 structure from Alexandria. Energies are from GGA-PBE.

The formation enthalpy at 0 K is -0.9320 eV per atom. The total magnetic moment is 0.0 μB per cell.

It has space group P-4m2 (No. 115), with a = 4.4368 Å, b = 4.4368 Å, c = 11.3142 Å, α = 90.00°, β = 90.00° and γ = 90.00°. The distinct sites, in fractional coordinates, are Ac at (0.0000, 0.5000, 0.2321), Dy at (0.0000, 0.0000, 0.5000), Ge at (0.0000, 0.0000, 0.0000), Ge at (0.0000, 0.5000, 0.6586), Ge at (0.5000, 0.5000, 0.0000), Pt at (0.0000, 0.5000, 0.8850) and Pt at (0.5000, 0.5000, 0.5000).

# 7
Here is a geometry-optimized TaTiAl2 structure from Alexandria. Energies are from GGA-PBE.

As for the offset from the most stable computed form: 0.5193 eV/atom. The formation enthalpy at 0 K is 0.1939 eV per atom. The total magnetic moment is 0.0 μB per cell.

It has space group I-42d (No. 122), with a = 7.1876 Å, b = 7.1876 Å, c = 5.4803 Å, α = 90.00°, β = 90.00° and γ = 90.00°. The distinct sites, in fractional coordinates, are Ta at (0.0000, 0.0000, 0.0000), Ti at (0.0000, 0.0000, 0.5000) and Al at (0.2450, 0.7500, 0.6250).

# 8
Here is a geometry-optimized DyTaRe structure from Alexandria. Energies are from GGA-PBE.

The formation enthalpy at 0 K is 0.0984 eV per atom. The total magnetic moment is 0.0 μB per cell.

It has space group Fmmm (No. 69), with a = 5.8060 Å, b = 8.6869 Å, c = 10.0796 Å, α = 90.00°, β = 90.00° and γ = 90.00°. The distinct sites, in fractional coordinates, are Dy at (0.0000, 0.1781, 0.0000), Ta at (0.0000, 0.0000, 0.3218) and Re at (0.2500, 0.2500, 0.2500).

# 9
Here is a geometry-optimized Mg3Pa3OsN8 structure from Alexandria. Energies are from GGA-PBE.

The uncorrected formation energy is -916 meV/atom. The total magnetic moment is 2.9 μB per cell.

It has space group R-3m (No. 166, hexagonal axes), with a = 6.6834 Å, b = 6.6834 Å, c = 15.6639 Å, α = 90.00°, β = 90.00° and γ = 120.00°. The distinct sites, in fractional coordinates, are Mg at (0.0000, 0.5000, 0.0000), Pa at (0.0000, 0.5000, 0.5000), Os at (0.0000, 0.0000, 0.5000), N at (0.0000, 0.0000, 0.2517) and N at (0.0173, 0.5087, 0.2423).

# 10
Here is a geometry-optimized CaHoRhAu structure from Alexandria. Energies are from GGA-PBE.

As for the offset from the most stable computed form: 0.0000 eV/atom. The formation enthalpy at 0 K is -0.7373 eV per atom. The total magnetic moment is 0.0 μB per cell.

It has space group Amm2 (No. 38), with a = 4.2879 Å, b = 3.8621 Å, c = 11.0750 Å, α = 90.00°, β = 90.00° and γ = 90.00°. The distinct sites, in fractional coordinates, are Ca at (0.0000, 0.0000, 0.0000), Ho at (0.5000, 0.0000, 0.2848), Rh at (0.0000, 0.0000, 0.7353) and Au at (0.5000, 0.0000, 0.5666).

# 11
Here is a geometry-optimized AlFeBr2 structure from Alexandria. Energies are from GGA-PBE.

As for the offset from the most stable computed form: 0.4028 eV/atom. The uncorrected formation energy is 127 meV/atom. The total magnetic moment is 0.0 μB per cell.

It has space group I-42d (No. 122), with a = 8.8301 Å, b = 8.8301 Å, c = 4.7277 Å, α = 90.00°, β = 90.00° and γ = 90.00°. The distinct sites, in fractional coordinates, are Al at (0.0000, 0.0000, 0.0000), Fe at (0.0000, 0.0000, 0.5000) and Br at (0.0988, 0.2500, 0.6250).

# 12
Here is a geometry-optimized NaAc2Dy structure from Alexandria. Energies are from GGA-PBE.

As for the offset from the most stable computed form: 0.0685 eV/atom. The formation enthalpy at 0 K is 0.1463 eV per atom. The total magnetic moment is 0.0 μB per cell.

It has space group R-3m (No. 166, hexagonal axes), with a = 3.8068 Å, b = 3.8068 Å, c = 40.0561 Å, α = 90.00°, β = 90.00° and γ = 120.00°. The distinct sites, in fractional coordinates, are Na at (0.0000, 0.0000, 0.0000), Ac at (0.0000, 0.0000, 0.0924) and Dy at (0.0000, 0.0000, 0.5000).